# PBE PrAl2CdAu4, optimized geometry
# Energy of formation from the pure elements = -479 meV per atom
data_PrAl2CdAu4
_chemical_formula_sum 'Pr3 Al6 Cd3 Au12'
_cell_length_a 4.4258
_cell_length_b 4.4258
_cell_length_c 29.3429
_cell_angle_alpha 90.00
_cell_angle_beta 90.00
_cell_angle_gamma 120.00
_space_group_name_H-M_alt 'R -3 m'
_space_group_IT_number 166
_space_group_name_Hall '-R 3 2"'
loop_
_atom_site_label
_atom_site_fract_x
_atom_site_fract_y
_atom_site_fract_z
Pr1 0.0000 0.0000 0.0000
Al1 0.0000 0.0000 0.2454
Cd1 0.0000 0.0000 0.5000
Au1 0.0000 0.0000 0.1181
Au2 0.0000 0.0000 0.3962